No. 1
Material: NdNi4Sn2
Method: DFT, PBE-GGA
State: relaxed

Lattice parameters (Å, degrees): 7.729 7.729 7.916 90.00 90.00 90.00
Space group I4/mcm (No. 140)
Asymmetric unit:
Nd (0.000, 0.000, 0.250)
Ni (0.138, 0.362, 0.164)
Sn (0.160, 0.340, 0.500)

Properties
Total DFT energy (no corrections) (eV/cell): -155.10
Energy of formation (eV/atom): -0.411
Polymorph energy (0 for the lowest one) (eV/atom): 0.000
DOS at the Fermi energy (states/eV/f.u.): 4.57

No. 2
Material: NbTe3S
Method: DFT, PBE-GGA
State: relaxed

Lattice parameters (Å, degrees): 5.341 5.341 5.341 90.00 90.00 90.00
Space group Pm-3m (No. 221)
Asymmetric unit:
Nb (0.000, 0.000, 0.000)
Te (0.000, 0.000, 0.500)
S (0.500, 0.500, 0.500)

Properties
Total DFT energy (no corrections) (eV/cell): -21.34
Energy relative to the elements, uncorrected (eV/atom): 0.4558
Polymorph energy (0 for the lowest one) (eV/atom): 0.000
DOS at the Fermi energy (states/eV/f.u.): 5.86

No. 3
Material: Rb2PaSnSe4
Method: DFT, PBE-GGA
State: relaxed

Lattice parameters (Å, degrees): 7.678 4.348 8.264 90.00 107.14 90.00
Space group P2/m (No. 10)
Asymmetric unit:
Rb (0.000, 0.000, 0.000)
Rb (0.500, 0.500, 0.000)
Pa (0.000, 0.500, 0.500)
Sn (0.500, 0.000, 0.500)
Se (0.219, 0.000, 0.695)
Se (0.248, 0.500, 0.303)

Properties
Total DFT energy (no corrections) (eV/cell): -38.51
Energy relative to the elements, uncorrected (eV/atom): -1.1422
DOS at the Fermi energy (states/eV/f.u.): 5.53

No. 4
Material: LaZn2Te
Method: DFT, PBE-GGA
State: relaxed

Lattice parameters (Å, degrees): 4.193 4.193 6.021 90.00 90.00 90.00
Space group P4mm (No. 99)
Asymmetric unit:
La (0.000, 0.000, 0.000)
Zn (0.000, 0.500, 0.603)
Te (0.500, 0.500, 0.211)

Properties
Total DFT energy (no corrections) (eV/cell): -12.90
Energy relative to the elements, uncorrected (eV/atom): -0.5709
DOS at the Fermi energy (states/eV/f.u.): 2.08

No. 5
Material: MgFe2N
Method: DFT, PBE-GGA
State: relaxed

Lattice parameters (Å, degrees): 5.539 5.539 5.539 90.00 90.00 90.00
Space group Fm-3m (No. 225)
Asymmetric unit:
Mg (0.000, 0.000, 0.000)
Fe (0.250, 0.250, 0.250)
N (0.000, 0.000, 0.500)

Properties
Total DFT energy (no corrections) (eV/cell): -85.67
Energy relative to the elements, uncorrected (eV/atom): 1.3571
Polymorph energy (0 for the lowest one) (eV/atom): 1.259
DOS at the Fermi energy (states/eV/f.u.): 4.82

No. 6
Material: Ba6Ag2HPd
Method: DFT, PBE-GGA
State: relaxed

Lattice parameters (Å, degrees): 7.832 8.729 13.959 90.00 123.98 90.00
Space group P2_1/c (No. 14)
Asymmetric unit:
Ba (0.115, 0.030, 0.245)
Ba (0.232, 0.683, 0.063)
Ba (0.382, 0.181, 0.060)
Ag (0.301, 0.109, 0.751)
H (0.000, 0.000, 0.000)
Pd (0.500, 0.000, 0.500)

Properties
Total DFT energy (no corrections) (eV/cell): -57.42
DOS at the Fermi energy (states/eV/f.u.): 7.02

No. 7
Material: MnCoReCSBr
Method: DFT, PBE-GGA
State: relaxed

Lattice parameters (Å, degrees): 3.075 4.150 8.805 93.73 97.79 90.00
Space group P1 (No. 1)
Asymmetric unit:
Mn (0.000, 0.000, 0.000)
Co (0.405, 0.950, 0.754)
Re (0.932, 0.479, 0.825)
C (0.475, 0.241, 0.936)
S (0.352, 0.442, 0.618)
Br (0.580, 0.852, 0.207)

Properties
Total DFT energy (no corrections) (eV/cell): -43.50
Energy relative to the elements, uncorrected (eV/atom): 0.0409
Polymorph energy (0 for the lowest one) (eV/atom): 0.120
DOS at the Fermi energy (states/eV/f.u.): 3.14

No. 8
Material: Sm2BrO
Method: DFT, PBE-GGA
State: relaxed

Lattice parameters (Å, degrees): 3.6687 3.6687 21.8214 90.00 90.00 120.00
Space group R-3m (No. 166, hexagonal axes)
Asymmetric unit:
Sm (0.0000, 0.0000, 0.2262)
Br (0.0000, 0.0000, 0.0000)
O (0.0000, 0.0000, 0.5000)

Properties
Total DFT energy (no corrections) (eV/cell): -70.29
Energy relative to the elements, uncorrected (eV/atom): -1.8398
DOS at the Fermi energy (states/eV/f.u.): 3.57

No. 9
Material: Ni5H12Pb3
Method: DFT, PBE-GGA
State: relaxed

Lattice parameters (Å, degrees): 11.583 11.583 11.583 90.00 90.00 90.00
Space group Ia-3d (No. 230)
Asymmetric unit:
Ni (0.000, 0.000, 0.000)
Ni (0.000, 0.250, 0.375)
H (0.031, 0.132, 0.944)
Pb (0.000, 0.250, 0.125)

Properties
Total DFT energy (no corrections) (eV/cell): -605.99
DOS at the Fermi energy (states/eV/f.u.): 6.89

No. 10
Material: CaTlAsBr2
Method: DFT, PBE-GGA
State: relaxed

Lattice parameters (Å, degrees): 5.659 5.659 5.910 90.00 90.00 90.00
Space group P4/mmm (No. 123)
Asymmetric unit:
Ca (0.000, 0.000, 0.000)
Tl (0.500, 0.500, 0.500)
As (0.000, 0.000, 0.500)
Br (0.000, 0.500, 0.000)

Properties
Total DFT energy (no corrections) (eV/cell): -15.87
Energy relative to the elements, uncorrected (eV/atom): -0.7009
Polymorph energy (0 for the lowest one) (eV/atom): 0.000
DOS at the Fermi energy (states/eV/f.u.): 1.65

No. 11
Material: PuThInHg
Method: DFT, PBE-GGA
State: relaxed

Lattice parameters (Å, degrees): 3.371 3.371 9.428 90.00 90.00 90.00
Space group P4mm (No. 99)
Asymmetric unit:
Pu (0.000, 0.000, 0.000)
Th (0.000, 0.000, 0.491)
In (0.500, 0.500, 0.750)
Hg (0.500, 0.500, 0.241)

Properties
Total DFT energy (no corrections) (eV/cell): -25.57
Energy of formation (eV/atom): -0.194
Polymorph energy (0 for the lowest one) (eV/atom): 0.000
DOS at the Fermi energy (states/eV/f.u.): 8.55

No. 12
Material: Pr8Tm6Sc
Method: DFT, PBE-GGA
State: relaxed

Lattice parameters (Å, degrees): 9.3968 9.3968 6.5173 90.00 90.00 120.00
Space group P-3 (No. 147)
Asymmetric unit:
Pr (0.0433, 0.7603, 0.1786)
Pr (0.3333, 0.6667, 0.1292)
Tm (0.0980, 0.6560, 0.6608)
Sc (0.0000, 0.0000, 0.5000)

Properties
Total DFT energy (no corrections) (eV/cell): -68.82
Energy of formation (eV/atom): 0.172
DOS at the Fermi energy (states/eV/f.u.): 24.07

No. 13
Material: LaTlCr
Method: DFT, PBE-GGA
State: relaxed

Lattice parameters (Å, degrees): 4.9970 4.9970 3.7259 90.00 90.00 120.00
Space group P-6m2 (No. 187)
Asymmetric unit:
La (0.0000, 0.0000, 0.0000)
Tl (0.3333, 0.6667, 0.5000)
Cr (0.6667, 0.3333, 0.5000)

Properties
Total DFT energy (no corrections) (eV/cell): -16.62
Energy of formation (eV/atom): 0.100
DOS at the Fermi energy (states/eV/f.u.): 1.81

No. 14
Material: Pm2BeIr
Method: DFT, PBE-GGA
State: relaxed

Lattice parameters (Å, degrees): 4.0183 4.0183 21.3052 90.00 90.00 120.00
Space group R3m (No. 160, hexagonal axes)
Asymmetric unit:
Pm (0.0000, 0.0000, 0.0000)
Pm (0.0000, 0.0000, 0.1769)
Be (0.0000, 0.0000, 0.4217)
Ir (0.0000, 0.0000, 0.7554)

Properties
Total DFT energy (no corrections) (eV/cell): -71.82
Energy of formation (eV/atom): -0.463
Polymorph energy (0 for the lowest one) (eV/atom): 0.000
DOS at the Fermi energy (states/eV/f.u.): 3.56

No. 15
Material: BeTcHg2
Method: DFT, PBE-GGA
State: relaxed

Lattice parameters (Å, degrees): 10.584 2.854 4.935 90.00 110.62 90.00
Space group Cm (No. 8)
Asymmetric unit:
Be (0.000, 0.000, 0.000)
Tc (0.329, 0.000, 0.710)
Hg (0.070, 0.500, 0.561)
Hg (0.285, 0.500, 0.182)

Properties
Total DFT energy (no corrections) (eV/cell): -25.14
Energy of formation (eV/atom): 0.532
DOS at the Fermi energy (states/eV/f.u.): 2.65

No. 16
Material: Hg2RuRh
Method: DFT, PBE-GGA
State: relaxed

Lattice parameters (Å, degrees): 4.893 2.941 5.191 90.00 111.19 90.00
Space group P2/m (No. 10)
Asymmetric unit:
Hg (0.000, 0.000, 0.000)
Hg (0.000, 0.500, 0.500)
Ru (0.500, 0.000, 0.500)
Rh (0.500, 0.500, 0.000)

Properties
Total DFT energy (no corrections) (eV/cell): -15.38
Energy of formation (eV/atom): 0.462
Polymorph energy (0 for the lowest one) (eV/atom): 0.201
DOS at the Fermi energy (states/eV/f.u.): 4.17

No. 17
Material: Ca2PmAgTe4
Method: DFT, PBE-GGA
State: relaxed

Lattice parameters (Å, degrees): 7.754 4.489 7.764 90.00 109.99 90.00
Space group P2/m (No. 10)
Asymmetric unit:
Ca (0.000, 0.000, 0.000)
Ca (0.500, 0.500, 0.000)
Pm (0.000, 0.500, 0.500)
Ag (0.500, 0.000, 0.500)
Te (0.248, 0.000, 0.750)
Te (0.258, 0.500, 0.262)

Properties
Total DFT energy (no corrections) (eV/cell): -33.97
Energy relative to the elements, uncorrected (eV/atom): -1.2243

No. 18
Material: Ba2PdPt2
Method: DFT, PBE-GGA
State: relaxed

Lattice parameters (Å, degrees): 9.821 6.062 8.978 90.00 102.32 90.00
Space group C2/c (No. 15)
Asymmetric unit:
Ba (0.152, 0.133, 0.155)
Pd (0.000, 0.377, 0.750)
Pt (0.130, 0.368, 0.507)

Properties
Total DFT energy (no corrections) (eV/cell): -97.41
Energy of formation (eV/atom): -0.647
Polymorph energy (0 for the lowest one) (eV/atom): 0.039
DOS at the Fermi energy (states/eV/f.u.): 1.92

No. 19
Material: CsKTlHg
Method: DFT, PBE-GGA
State: relaxed

Lattice parameters (Å, degrees): 8.648 8.648 8.648 90.00 90.00 90.00
Space group F-43m (No. 216)
Asymmetric unit:
Cs (0.000, 0.000, 0.000)
K (0.250, 0.250, 0.250)
Tl (0.000, 0.000, 0.500)
Hg (0.250, 0.250, 0.750)

Properties
Total DFT energy (no corrections) (eV/cell): -19.05
Energy of formation (eV/atom): -0.036
Polymorph energy (0 for the lowest one) (eV/atom): 0.109
DOS at the Fermi energy (states/eV/f.u.): 5.75

No. 20
Material: Ce2CdGe4Rh3
Method: DFT, PBE-GGA
State: relaxed

Lattice parameters (Å, degrees): 4.295 4.295 10.382 90.00 90.00 90.00
Space group P-4m2 (No. 115)
Asymmetric unit:
Ce (0.000, 0.500, 0.237)
Cd (0.000, 0.000, 0.500)
Ge (0.000, 0.000, 0.000)
Ge (0.000, 0.500, 0.648)
Ge (0.500, 0.500, 0.000)
Rh (0.000, 0.500, 0.881)
Rh (0.500, 0.500, 0.500)

Properties
Total DFT energy (no corrections) (eV/cell): -60.23
Energy of formation (eV/atom): -0.693
DOS at the Fermi energy (states/eV/f.u.): 11.75